Record 1
TaFeP: relaxed, PBE.

Cell: 3.584 6.108 6.932 Å, 90.00 90.00 90.00°
Element x y z (fractional)
P  0.250  0.277  0.619
Fe  0.250  0.642  0.563
P  0.750  0.223  0.119
P  0.750  0.723  0.381
Ta  0.750  0.478  0.824
Fe  0.750  0.358  0.437
Fe  0.250  0.142  0.937
P  0.250  0.777  0.881
Fe  0.750  0.858  0.063
Ta  0.250  0.522  0.176
Ta  0.750  0.978  0.676
Ta  0.250  0.022  0.324

Summary:
For the total DFT energy (no corrections), the calculation gives -9.3712 eV/atom. As for the space group: Pnma (62).

Record 2
Pm2Cd3Pb3: relaxed, PBE.

Cell: 4.729 4.925 9.207 Å, 90.00 90.00 90.00°
Element x y z (fractional)
Pm  0.000  0.000  0.748
Pb  0.500  0.000  0.000
Cd  0.500  0.500  0.237
Cd  0.000  0.500  0.000
Pm  0.000  0.000  0.252
Pb  0.500  0.000  0.500
Cd  0.500  0.500  0.763
Pb  0.000  0.500  0.500

Summary:
For the total DFT energy (no corrections), the calculation gives -3.2927 eV/atom. As for the space group: Pmmm (47).

Record 3
BaTbNO: relaxed, PBE.

Cell: 4.826 4.826 7.195 Å, 90.00 90.00 90.00°
Element x y z (fractional)
Ba  0.750  0.250  0.500
Ba  0.250  0.750  0.500
Tb  0.250  0.250  0.944
O  0.750  0.250  0.000
N  0.250  0.250  0.655
Tb  0.750  0.750  0.056
N  0.750  0.750  0.345
O  0.250  0.750  0.000

Summary:
Its offset from the most stable computed form is 0.63 eV/f.u. As for the space group: P4/nmm (129).

Record 4
GdZnPd: relaxed, PBE.

Cell: 4.471 4.471 7.071 Å, 90.00 90.00 120.00°
Element x y z (fractional)
Gd  0.000  0.000  0.750
Pd  0.333  0.667  0.003
Pd  0.667  0.333  0.503
Zn  0.333  0.667  0.498
Zn  0.667  0.333  0.998
Gd  0.000  0.000  0.250

Summary:
Its offset from the most stable computed form is 0.13 eV/f.u. The calculation puts the energy of formation from the pure elements at -703 meV/atom. As for the space group: P6_3mc (186).